Entry 1:
LaNbCo2Si | PBE | optimized geometry

abc: 4.4141 4.4141 5.2781
angles: 90.00 90.00 90.00
Positions (direct):
1 La 0.0000 0.0000 0.0000
2 Nb 0.5000 0.5000 0.5000
3 Co 0.0000 0.5000 0.0000
4 Co 0.5000 0.0000 0.0000
5 Si 0.0000 0.0000 0.5000

Results
E_tot in eV/atom: -5.3341
Space-group type: P4/mmm, No. 123
E_form (uncorrected) in meV per atom: 1592
Total magnetic moment in μB per formula unit: 1.95

Entry 2:
La3Nd4Co4 | PBE | optimized geometry

abc: 8.7677 8.7677 8.7677
angles: 148.02 128.67 61.76
Positions (direct):
1 La 0.0000 0.0000 0.0000
2 La 0.3969 0.8969 0.5000
3 La 0.6031 0.1031 0.5000
4 Nd 0.0527 0.3316 0.7210
5 Nd 0.3894 0.6684 0.7210
6 Nd 0.6106 0.3316 0.2790
7 Nd 0.9473 0.6684 0.2790
8 Co 0.1976 0.1976 0.0000
9 Co 0.3522 0.5000 0.8522
10 Co 0.6478 0.5000 0.1478
11 Co 0.8024 0.8024 0.0000

Results
ΔH_f (0 K) in eV per atom: 0.02
E_tot in eV/atom: -5.6402
Space-group type: Immm, No. 71
Total magnetic moment in μB per formula unit: 0.89

Entry 3:
La3Nd3Co2 | PBE | optimized geometry

abc: 7.0839 7.0839 19.0484
angles: 90.00 90.00 149.40
Positions (direct):
1 La 0.0700 0.9300 0.7500
2 La 0.1763 0.8237 0.0693
3 La 0.1763 0.8237 0.4307
4 La 0.8237 0.1763 0.5693
5 La 0.8237 0.1763 0.9307
6 La 0.9300 0.0700 0.2500
7 Nd 0.2078 0.7922 0.2500
8 Nd 0.4325 0.5675 0.0882
9 Nd 0.4325 0.5675 0.4118
10 Nd 0.5675 0.4325 0.5882
11 Nd 0.5675 0.4325 0.9118
12 Nd 0.7922 0.2078 0.7500
13 Co 0.2044 0.7956 0.6385
14 Co 0.2044 0.7956 0.8615
15 Co 0.7956 0.2044 0.1385
16 Co 0.7956 0.2044 0.3615

Results
ΔH_f (0 K) in eV per atom: 0.01
E_tot in eV/atom: -5.4007
Space-group type: Cmcm, No. 63
Total magnetic moment in μB per formula unit: 0.00

Entry 4:
LaNd4Co | PBE | optimized geometry

abc: 9.7906 9.7906 6.0610
angles: 108.00 108.00 44.82
Positions (direct):
1 La 0.1975 0.1975 0.1986
2 La 0.8025 0.8025 0.8014
3 Nd 0.1329 0.6336 0.3828
4 Nd 0.2373 0.7627 0.0000
5 Nd 0.3279 0.3279 0.8285
6 Nd 0.3664 0.8671 0.6172
7 Nd 0.6336 0.1329 0.3828
8 Nd 0.6721 0.6721 0.1715
9 Nd 0.7627 0.2373 0.0000
10 Nd 0.8671 0.3664 0.6172
11 Co 0.4994 0.4994 0.3160
12 Co 0.5006 0.5006 0.6840

Results
ΔE to the lowest computed polymorph in eV/atom: 0.000
ΔH_f (0 K) in eV per atom: 0.02
E_tot in eV/atom: -5.1612
Space-group type: C2/m, No. 12
Total magnetic moment in μB per formula unit: 0.00

Entry 5:
LaNdCo | PBE | optimized geometry

abc: 7.1233 7.1233 7.1233
angles: 151.55 151.55 40.68
Positions (direct):
1 La 0.0000 0.0000 0.0000
2 Nd 0.7537 0.7537 0.0000
3 Co 0.3762 0.3762 0.0000

Results
ΔE to the lowest computed polymorph in eV/atom: 0.113
ΔH_f (0 K) in eV per atom: 0.02
E_tot in eV/atom: -5.5847
Space-group type: I4mm, No. 107
Total magnetic moment in μB per formula unit: 0.35

Entry 6:
LaNdCo5 | PBE | optimized geometry

abc: 8.7042 4.9219 10.8661
angles: 90.00 90.00 90.00
Positions (direct):
1 La 0.1276 0.2500 0.1171
2 La 0.3724 0.7500 0.6171
3 La 0.6276 0.2500 0.3829
4 La 0.8724 0.7500 0.8829
5 Nd 0.2411 0.2500 0.4229
6 Nd 0.2589 0.7500 0.9229
7 Nd 0.7411 0.2500 0.0771
8 Nd 0.7589 0.7500 0.5771
9 Co 0.0516 0.7500 0.4833
10 Co 0.0541 0.2500 0.8616
11 Co 0.0730 0.5018 0.6783
12 Co 0.0730 0.9982 0.6783
13 Co 0.1844 0.7500 0.2701
14 Co 0.3156 0.2500 0.7701
15 Co 0.4270 0.0018 0.1783
16 Co 0.4270 0.4982 0.1783
17 Co 0.4459 0.7500 0.3616
18 Co 0.4484 0.2500 0.9833
19 Co 0.5516 0.7500 0.0167
20 Co 0.5541 0.2500 0.6384
21 Co 0.5730 0.5018 0.8217
22 Co 0.5730 0.9982 0.8217
23 Co 0.6844 0.7500 0.2299
24 Co 0.8156 0.2500 0.7299
25 Co 0.9270 0.0018 0.3217
26 Co 0.9270 0.4982 0.3217
27 Co 0.9459 0.7500 0.1384
28 Co 0.9484 0.2500 0.5167

Results
ΔH_f (0 K) in eV per atom: 0.01
E_tot in eV/atom: -6.4545
Space-group type: Pnma, No. 62
Total magnetic moment in μB per formula unit: 5.72

Entry 7:
La5NdCo3 | PBE | optimized geometry

abc: 7.7967 7.7967 10.2234
angles: 109.52 109.52 73.41
Positions (direct):
1 La 0.0633 0.0633 0.3716
2 La 0.1399 0.5255 0.3311
3 La 0.1941 0.8059 0.0000
4 La 0.3979 0.3979 0.7061
5 La 0.4745 0.8601 0.6689
6 La 0.5255 0.1399 0.3311
7 La 0.6021 0.6021 0.2939
8 La 0.8059 0.1941 0.0000
9 La 0.8601 0.4745 0.6689
10 La 0.9367 0.9367 0.6284
11 Nd 0.2673 0.2673 0.9636
12 Nd 0.7327 0.7327 0.0364
13 Co 0.1654 0.1654 0.1688
14 Co 0.1660 0.1660 0.6626
15 Co 0.5000 0.5000 0.0000
16 Co 0.5000 0.5000 0.5000
17 Co 0.8340 0.8340 0.3374
18 Co 0.8346 0.8346 0.8312

Results
ΔH_f (0 K) in eV per atom: -0.10
E_tot in eV/atom: -5.7310
Space-group type: C2/m, No. 12
Total magnetic moment in μB per formula unit: 0.00

Entry 8:
LaNdCo4 | PBE | optimized geometry

abc: 5.1555 5.1555 5.1555
angles: 60.00 60.00 60.00
Positions (direct):
1 La 0.0000 0.0000 0.0000
2 Nd 0.2500 0.2500 0.2500
3 Co 0.1252 0.6249 0.6249
4 Co 0.6249 0.1252 0.6249
5 Co 0.6249 0.6249 0.1252
6 Co 0.6249 0.6249 0.6249

Results
ΔE to the lowest computed polymorph in eV/atom: 0.041
ΔH_f (0 K) in eV per atom: -0.03
E_tot in eV/atom: -6.3830
Space-group type: F-43m, No. 216
Total magnetic moment in μB per formula unit: 2.34